1.
A relaxed LaSe crystal, computed with GGA-PBE.

```
data_LaSe
_chemical_formula_sum 'La6 Se6'
_cell_length_a 5.037
_cell_length_b 5.037
_cell_length_c 20.159
_cell_angle_alpha 90.00
_cell_angle_beta 90.00
_cell_angle_gamma 120.00
_space_group_name_H-M_alt 'P 1'
_space_group_IT_number 1
loop_
_space_group_symop_operation_xyz
'x,y,z'
loop_
_atom_site_label
_atom_site_fract_x
_atom_site_fract_y
_atom_site_fract_z
La1 0.667 0.333 0.429
La2 0.000 0.000 0.256
La3 0.667 0.333 0.913
La4 0.333 0.667 0.087
La5 0.000 0.000 0.744
La6 0.333 0.667 0.571
Se1 0.667 0.333 0.767
Se2 0.333 0.667 0.233
Se3 0.333 0.667 0.420
Se4 0.667 0.333 0.580
Se5 0.000 0.000 0.106
Se6 0.000 0.000 0.894
```

Output
- Magnetic moment: 0.7 Bohr magnetons per cell
- Uncorrected energy: -5.65 eV per atom
- Raw formation energy: -1.44 eV/atom
- Calculated volume: 74 Å³/f.u.
- DOS(E_F): 0.75 states/eV/atom



2.
A relaxed LaSe2 crystal, computed with GGA-PBE.

```
data_LaSe2
_chemical_formula_sum 'La2 Se4'
_cell_length_a 4.123
_cell_length_b 5.649
_cell_length_c 8.205
_cell_angle_alpha 106.03
_cell_angle_beta 96.23
_cell_angle_gamma 107.43
_space_group_name_H-M_alt 'P 1'
_space_group_IT_number 1
loop_
_space_group_symop_operation_xyz
'x,y,z'
loop_
_atom_site_label
_atom_site_fract_x
_atom_site_fract_y
_atom_site_fract_z
Se1 0.508 0.279 0.433
Se2 0.661 0.806 0.122
Se3 0.492 0.721 0.567
Se4 0.339 0.194 0.878
La1 0.000 0.607 0.805
La2 0.000 0.393 0.195
```

Output
- Magnetic moment: 0.0 Bohr magnetons per cell
- Uncorrected energy: -5.57 eV per atom
- Raw formation energy: -1.61 eV/atom
- Calculated volume: 86 Å³/f.u.



3.
A relaxed LaSe5 crystal, computed with GGA-PBE.

```
data_LaSe5
_chemical_formula_sum 'La1 Se5'
_cell_length_a 4.011
_cell_length_b 4.011
_cell_length_c 9.498
_cell_angle_alpha 90.00
_cell_angle_beta 90.00
_cell_angle_gamma 90.00
_space_group_name_H-M_alt 'P 1'
_space_group_IT_number 1
loop_
_space_group_symop_operation_xyz
'x,y,z'
loop_
_atom_site_label
_atom_site_fract_x
_atom_site_fract_y
_atom_site_fract_z
Se1 0.000 0.000 0.133
Se2 0.500 0.500 0.625
Se3 0.000 0.000 0.867
Se4 0.500 0.500 0.375
Se5 0.000 0.000 0.500
La1 0.500 0.500 0.000
```

Output
- Magnetic moment: 0.0 Bohr magnetons per cell
- Uncorrected energy: -4.11 eV per atom
- Raw formation energy: -0.39 eV/atom
- Calculated volume: 153 Å³/f.u.
- DOS(E_F): 0.83 states/eV/atom



4.
A relaxed LaSe5 crystal, computed with GGA-PBE.

```
data_LaSe5
_chemical_formula_sum 'La1 Se5'
_cell_length_a 5.647
_cell_length_b 5.647
_cell_length_c 5.275
_cell_angle_alpha 90.00
_cell_angle_beta 90.00
_cell_angle_gamma 120.00
_space_group_name_H-M_alt 'P 1'
_space_group_IT_number 1
loop_
_space_group_symop_operation_xyz
'x,y,z'
loop_
_atom_site_label
_atom_site_fract_x
_atom_site_fract_y
_atom_site_fract_z
Se1 0.333 0.667 0.000
Se2 0.500 0.500 0.500
Se3 0.667 0.333 0.000
Se4 0.500 0.000 0.500
Se5 0.000 0.500 0.500
La1 0.000 0.000 0.000
```

Output
- Magnetic moment: 0.0 Bohr magnetons per cell
- Uncorrected energy: -3.96 eV per atom
- Raw formation energy: -0.24 eV/atom
- Calculated volume: 146 Å³/f.u.
- DOS(E_F): 0.90 states/eV/atom



5.
A relaxed LaSe crystal, computed with GGA-PBE.

```
data_LaSe
_chemical_formula_sum 'La2 Se2'
_cell_length_a 6.664
_cell_length_b 6.664
_cell_length_c 4.402
_cell_angle_alpha 90.00
_cell_angle_beta 90.00
_cell_angle_gamma 144.03
_space_group_name_H-M_alt 'P 1'
_space_group_IT_number 1
loop_
_space_group_symop_operation_xyz
'x,y,z'
loop_
_atom_site_label
_atom_site_fract_x
_atom_site_fract_y
_atom_site_fract_z
La1 0.859 0.141 0.750
La2 0.141 0.859 0.250
Se1 0.381 0.619 0.250
Se2 0.619 0.381 0.750
```

Output
- Magnetic moment: 0.0 Bohr magnetons per cell
- Uncorrected energy: -6.01 eV per atom
- Raw formation energy: -1.81 eV/atom
- Calculated volume: 57 Å³/f.u.
- DOS(E_F): 0.63 states/eV/atom



6.
A relaxed LaSe2 crystal, computed with GGA-PBE.

```
data_LaSe2
_chemical_formula_sum 'La2 Se4'
_cell_length_a 4.241
_cell_length_b 5.442
_cell_length_c 8.431
_cell_angle_alpha 77.78
_cell_angle_beta 84.51
_cell_angle_gamma 68.81
_space_group_name_H-M_alt 'P 1'
_space_group_IT_number 1
loop_
_space_group_symop_operation_xyz
'x,y,z'
loop_
_atom_site_label
_atom_site_fract_x
_atom_site_fract_y
_atom_site_fract_z
Se1 0.572 0.649 0.641
Se2 0.640 0.084 0.567
Se3 0.690 0.211 0.012
Se4 0.961 0.593 0.255
La1 0.255 0.996 0.301
La2 0.996 0.661 0.895
```

Output
- Magnetic moment: 0.0 Bohr magnetons per cell
- Uncorrected energy: -5.56 eV per atom
- Raw formation energy: -1.60 eV/atom
- Calculated volume: 89 Å³/f.u.



7.
A relaxed LaSe crystal, computed with GGA-PBE.

```
data_LaSe
_chemical_formula_sum 'La1 Se1'
_cell_length_a 4.315
_cell_length_b 4.315
_cell_length_c 4.315
_cell_angle_alpha 60.00
_cell_angle_beta 60.00
_cell_angle_gamma 60.00
_space_group_name_H-M_alt 'P 1'
_space_group_IT_number 1
loop_
_space_group_symop_operation_xyz
'x,y,z'
loop_
_atom_site_label
_atom_site_fract_x
_atom_site_fract_y
_atom_site_fract_z
La1 0.000 0.000 0.000
Se1 0.500 0.500 0.500
```

Output
- Magnetic moment: 0.0 Bohr magnetons per cell
- Uncorrected energy: -6.21 eV per atom
- Raw formation energy: -2.00 eV/atom
- Calculated volume: 57 Å³/f.u.
- DOS(E_F): 0.68 states/eV/atom



8.
A relaxed LaSe2 crystal, computed with GGA-PBE.

```
data_LaSe2
_chemical_formula_sum 'La1 Se2'
_cell_length_a 4.839
_cell_length_b 4.839
_cell_length_c 3.765
_cell_angle_alpha 90.00
_cell_angle_beta 90.00
_cell_angle_gamma 120.00
_space_group_name_H-M_alt 'P 1'
_space_group_IT_number 1
loop_
_space_group_symop_operation_xyz
'x,y,z'
loop_
_atom_site_label
_atom_site_fract_x
_atom_site_fract_y
_atom_site_fract_z
Se1 0.667 0.333 0.000
Se2 0.333 0.667 0.000
La1 0.000 0.000 0.500
```

Output
- Magnetic moment: 0.0 Bohr magnetons per cell
- Uncorrected energy: -5.15 eV per atom
- Raw formation energy: -1.18 eV/atom
- Calculated volume: 76 Å³/f.u.
- DOS(E_F): 0.37 states/eV/atom